Compound: CuTcOs2
Source: Alexandria via LeMat-Bulk
Functional: meta-GGA SCAN
Structure: PBEsol geometry

The structure in POSCAR format:
```
CuTcOs2
1.0
2.699 0.000 0.000
0.000 3.811 0.000
0.000 0.000 5.212
Cu Tc Os
1 1 2
Cartesian
0.000 0.000 0.000
1.350 1.906 3.953
0.000 0.000 2.601
1.350 1.906 1.258
```

Summary:
- offset from the most stable computed form (meV/atom) = 0
- mass density (g cm⁻³) = 16.79

***

Compound: CuTcOs3
Source: Alexandria via LeMat-Bulk
Functional: meta-GGA SCAN
Structure: PBEsol geometry

The structure in POSCAR format:
```
CuTcOs3
1.0
4.308 0.000 0.000
0.000 4.308 0.000
0.000 0.000 4.308
Cu Tc Os
1 1 3
Cartesian
0.000 0.000 0.000
2.154 2.154 2.154
0.000 0.000 2.154
0.000 2.154 0.000
2.154 0.000 0.000
```

Summary:
- mass density (g cm⁻³) = 15.20
- energy (eV per atom) = -51.018

***

Compound: CuTcOs2
Source: Alexandria via LeMat-Bulk
Functional: meta-GGA SCAN
Structure: PBEsol geometry

The structure in POSCAR format:
```
CuTcOs2
1.0
4.600 0.000 0.000
0.000 2.689 0.000
-1.619 0.000 4.359
Cu Tc Os
1 1 2
Cartesian
0.000 0.000 0.000
-0.810 1.344 2.180
1.490 0.000 2.180
2.300 1.344 0.000
```

Summary:
- offset from the most stable computed form (meV/atom) = 114
- mass density (g cm⁻³) = 16.69

***

Compound: Cu2TcOs
Source: Alexandria via LeMat-Bulk
Functional: meta-GGA SCAN
Structure: PBEsol geometry

The structure in POSCAR format:
```
Cu2TcOs
1.0
4.142 0.000 0.000
0.000 4.142 0.000
0.000 0.000 2.927
Cu Tc Os
2 1 1
Cartesian
0.000 2.071 0.000
2.071 0.000 0.000
0.000 0.000 1.464
2.071 2.071 1.464
```

Summary:
- offset from the most stable computed form (meV/atom) = 227
- mass density (g cm⁻³) = 13.73

***

Compound: Cu2TcOs
Source: Alexandria via LeMat-Bulk
Functional: meta-GGA SCAN
Structure: PBEsol geometry

The structure in POSCAR format:
```
Cu2TcOs
1.0
0.000 2.958 2.958
2.958 0.000 2.958
2.958 2.958 0.000
Cu Tc Os
2 1 1
Cartesian
0.000 0.000 0.000
1.479 1.479 1.479
4.436 4.436 4.436
2.958 2.958 2.958
```

Summary:
- offset from the most stable computed form (meV/atom) = 25
- mass density (g cm⁻³) = 13.33

***

Compound: CuTe2Os
Source: Alexandria via LeMat-Bulk
Functional: meta-GGA SCAN
Structure: PBEsol geometry

The structure in POSCAR format:
```
CuTe2Os
1.0
3.761 -1.835 0.000
3.761 1.835 0.000
-2.041 0.000 6.190
Cu Te Os
1 2 1
Cartesian
0.000 0.000 0.000
0.183 0.000 5.198
2.905 0.000 2.387
5.279 0.000 1.047
```

Summary:
- offset from the most stable computed form (meV/atom) = 0
- mass density (g cm⁻³) = 9.89
- energy relative to the elements, uncorrected (meV per atom) = 302

***

Compound: CuTeOs2
Source: Alexandria via LeMat-Bulk
Functional: meta-GGA SCAN
Structure: PBEsol geometry

The structure in POSCAR format:
```
CuTeOs2
1.0
4.226 -1.492 0.000
4.226 1.492 0.000
-0.944 0.000 4.826
Cu Te Os
1 1 2
Cartesian
0.000 0.000 0.000
3.753 0.000 2.413
1.399 0.000 3.727
6.107 0.000 1.099
```

Summary:
- mass density (g cm⁻³) = 15.59
- energy relative to the elements, uncorrected (meV per atom) = 682

***

Compound: CuTe2Os
Source: Alexandria via LeMat-Bulk
Functional: meta-GGA SCAN
Structure: PBEsol geometry

The structure in POSCAR format:
```
CuTe2Os
1.0
0.000 3.334 3.334
3.334 0.000 3.334
3.334 3.334 0.000
Cu Te Os
1 2 1
Cartesian
0.000 0.000 0.000
3.334 3.334 3.334
5.001 5.001 5.001
1.667 1.667 1.667
```

Summary:
- offset from the most stable computed form (meV/atom) = 873
- mass density (g cm⁻³) = 11.41
- energy relative to the elements, uncorrected (meV per atom) = 1175